First-principles (GGA-PBE) data for a relaxed Pm4HoS7 crystal, as listed in Alexandria via LeMat-Bulk.

Output
DFT total energy = -6.4428 eV per atom
ΔE_f (raw) = -2070 meV/atom

Lattice parameters (Å, degrees): 3.9035 6.8689 11.8170 104.41 90.00 106.51
Atoms (fractional coordinates):
1 Pm 0.6987 0.3974 0.8081
2 Pm 0.3009 0.6019 0.1914
3 Pm 0.9993 0.9985 0.9978
4 Pm 0.1116 0.2231 0.4239
5 Ho 0.8879 0.7757 0.5780
6 S 0.7427 0.4855 0.3564
7 S 0.2662 0.5324 0.6471
8 S 0.3388 0.6776 0.9481
9 S 0.6597 0.3194 0.0509
10 S 0.0392 0.0784 0.7795
11 S 0.9589 0.9178 0.2152
12 S 0.4962 0.9923 0.5036



First-principles (GGA-PBE) data for a relaxed Tm3Ag2Pd crystal, as listed in Alexandria via LeMat-Bulk.

Output
formation energy = -3.25 eV per formula unit
DFT total energy = -4.5939 eV per atom
excess energy over the best structure of this formula in the dataset = 0 meV per atom

Lattice parameters (Å, degrees): 3.5331 3.5331 10.7344 90.00 90.00 90.00
Atoms (fractional coordinates):
1 Tm 0.0000 0.0000 0.0000
2 Tm 0.0000 0.0000 0.6569
3 Tm 0.0000 0.0000 0.3431
4 Ag 0.5000 0.5000 0.8304
5 Ag 0.5000 0.5000 0.1696
6 Pd 0.5000 0.5000 0.5000



First-principles (GGA-PBE) data for a relaxed Tb5Pr2Y5 crystal, as listed in Alexandria via LeMat-Bulk.

Output
formation energy = 0.24 eV per formula unit
DFT total energy = -5.3995 eV per atom
excess energy over the best structure of this formula in the dataset = 0 meV per atom

Lattice parameters (Å, degrees): 5.0788 8.0234 10.7786 72.68 76.37 71.55
Atoms (fractional coordinates):
1 Tb 0.8322 0.8353 0.5003
2 Tb 0.2488 0.7524 0.7501
3 Tb 0.7512 0.2476 0.2499
4 Tb 0.1678 0.1647 0.4997
5 Tb 0.0000 0.0000 0.0000
6 Pr 0.9167 0.4175 0.7490
7 Pr 0.0833 0.5825 0.2510
8 Y 0.5000 0.5000 0.5000
9 Y 0.3337 0.3322 0.0005
10 Y 0.4154 0.9188 0.2503
11 Y 0.5846 0.0812 0.7497
12 Y 0.6663 0.6678 0.9995



Number 1: M_tot 0.00 μB/cell. Number 2: M_tot 0.00 μB/cell. Number 3: M_tot 0.00 μB/cell.